Compound: Hf2InW
Source: OQMD via LeMat-Bulk
Functional: PBE
Structure: relaxed

Summary:
Calculated volume   78.7 Å³/cell
Size of the total moment   0.74 μB/f.u.
Final energy   -34.6 eV/cell

The structure in CIF format:
```
data_Hf2InW
_symmetry_space_group_name_H-M 'P 1'
_symmetry_Int_Tables_number 1
_cell_length_a 4.810
_cell_length_b 4.810
_cell_length_c 4.810
_cell_angle_alpha 60.00
_cell_angle_beta 60.00
_cell_angle_gamma 60.00
loop_
_symmetry_equiv_pos_as_xyz
'x,y,z'
loop_
_atom_site_label
_atom_site_fract_x
_atom_site_fract_y
_atom_site_fract_z
Hf1 0.000 0.000 0.000
Hf2 0.750 0.750 0.750
In1 0.500 0.500 0.500
W1 0.250 0.250 0.250
```

=====

Compound: Y2HfIn
Source: OQMD via LeMat-Bulk
Functional: PBE
Structure: relaxed

Summary:
Calculated volume   103.0 Å³/cell
Size of the total moment   0.07 μB/f.u.
Final energy   -26.1 eV/cell

The structure in CIF format:
```
data_Y2HfIn
_symmetry_space_group_name_H-M 'P 1'
_symmetry_Int_Tables_number 1
_cell_length_a 4.686
_cell_length_b 4.686
_cell_length_c 4.690
_cell_angle_alpha 90.00
_cell_angle_beta 90.00
_cell_angle_gamma 90.00
loop_
_symmetry_equiv_pos_as_xyz
'x,y,z'
loop_
_atom_site_label
_atom_site_fract_x
_atom_site_fract_y
_atom_site_fract_z
Hf1 0.500 0.500 0.000
In1 0.000 0.000 0.000
Y1 0.500 0.000 0.500
Y2 0.000 0.500 0.500
```

=====

Compound: Y2HfIn
Source: OQMD via LeMat-Bulk
Functional: PBE
Structure: relaxed

Summary:
Calculated volume   102.5 Å³/cell
Size of the total moment   0.61 μB/f.u.
Final energy   -25.4 eV/cell

The structure in CIF format:
```
data_Y2HfIn
_symmetry_space_group_name_H-M 'P 1'
_symmetry_Int_Tables_number 1
_cell_length_a 5.252
_cell_length_b 5.252
_cell_length_c 5.252
_cell_angle_alpha 60.00
_cell_angle_beta 60.00
_cell_angle_gamma 60.00
loop_
_symmetry_equiv_pos_as_xyz
'x,y,z'
loop_
_atom_site_label
_atom_site_fract_x
_atom_site_fract_y
_atom_site_fract_z
Hf1 0.250 0.250 0.250
In1 0.500 0.500 0.500
Y1 0.000 0.000 0.000
Y2 0.750 0.750 0.750
```

=====

Compound: YHfIn2
Source: OQMD via LeMat-Bulk
Functional: PBE
Structure: relaxed

Summary:
Calculated volume   98.0 Å³/cell
Size of the total moment   1.38 μB/f.u.
Final energy   -20.9 eV/cell

The structure in CIF format:
```
data_YHfIn2
_symmetry_space_group_name_H-M 'P 1'
_symmetry_Int_Tables_number 1
_cell_length_a 5.175
_cell_length_b 5.175
_cell_length_c 5.175
_cell_angle_alpha 60.00
_cell_angle_beta 60.00
_cell_angle_gamma 60.00
loop_
_symmetry_equiv_pos_as_xyz
'x,y,z'
loop_
_atom_site_label
_atom_site_fract_x
_atom_site_fract_y
_atom_site_fract_z
Hf1 0.750 0.750 0.750
In1 0.000 0.000 0.000
In2 0.250 0.250 0.250
Y1 0.500 0.500 0.500
```

=====

Compound: YHfIn
Source: OQMD via LeMat-Bulk
Functional: PBE
Structure: relaxed

Summary:
Calculated volume   89.7 Å³/cell
Size of the total moment   1.60 μB/f.u.
Excess energy over the best structure of this formula in the dataset   0.000 eV/atom

The structure in CIF format:
```
data_YHfIn
_symmetry_space_group_name_H-M 'P 1'
_symmetry_Int_Tables_number 1
_cell_length_a 5.025
_cell_length_b 5.025
_cell_length_c 5.025
_cell_angle_alpha 60.00
_cell_angle_beta 60.00
_cell_angle_gamma 60.00
loop_
_symmetry_equiv_pos_as_xyz
'x,y,z'
loop_
_atom_site_label
_atom_site_fract_x
_atom_site_fract_y
_atom_site_fract_z
Hf1 0.000 0.000 0.000
In1 0.250 0.250 0.250
Y1 0.750 0.750 0.750
```

=====

Compound: HfZnIn
Source: OQMD via LeMat-Bulk
Functional: PBE
Structure: relaxed

Summary:
Calculated volume   72.4 Å³/cell
Size of the total moment   0.00 μB/f.u.
Final energy   -12.8 eV/cell

The structure in CIF format:
```
data_HfZnIn
_symmetry_space_group_name_H-M 'P 1'
_symmetry_Int_Tables_number 1
_cell_length_a 4.678
_cell_length_b 4.678
_cell_length_c 4.678
_cell_angle_alpha 60.00
_cell_angle_beta 60.00
_cell_angle_gamma 60.00
loop_
_symmetry_equiv_pos_as_xyz
'x,y,z'
loop_
_atom_site_label
_atom_site_fract_x
_atom_site_fract_y
_atom_site_fract_z
Hf1 0.000 0.000 0.000
In1 0.250 0.250 0.250
Zn1 0.750 0.750 0.750
```

=====

Compound: HfZnIn2
Source: OQMD via LeMat-Bulk
Functional: PBE
Structure: relaxed

Summary:
Calculated volume   86.8 Å³/cell
Size of the total moment   0.00 μB/f.u.
Final energy   -15.7 eV/cell

The structure in CIF format:
```
data_HfZnIn2
_symmetry_space_group_name_H-M 'P 1'
_symmetry_Int_Tables_number 1
_cell_length_a 4.970
_cell_length_b 4.970
_cell_length_c 4.970
_cell_angle_alpha 60.00
_cell_angle_beta 60.00
_cell_angle_gamma 60.00
loop_
_symmetry_equiv_pos_as_xyz
'x,y,z'
loop_
_atom_site_label
_atom_site_fract_x
_atom_site_fract_y
_atom_site_fract_z
Hf1 0.250 0.250 0.250
In1 0.000 0.000 0.000
In2 0.750 0.750 0.750
Zn1 0.500 0.500 0.500
```

=====

Compound: HfZnIn
Source: OQMD via LeMat-Bulk
Functional: PBE
Structure: relaxed

Summary:
Calculated volume   68.1 Å³/cell
Size of the total moment   0.03 μB/f.u.
Final energy   -12.8 eV/cell

The structure in CIF format:
```
data_HfZnIn
_symmetry_space_group_name_H-M 'P 1'
_symmetry_Int_Tables_number 1
_cell_length_a 4.585
_cell_length_b 4.585
_cell_length_c 4.585
_cell_angle_alpha 60.00
_cell_angle_beta 60.00
_cell_angle_gamma 60.00
loop_
_symmetry_equiv_pos_as_xyz
'x,y,z'
loop_
_atom_site_label
_atom_site_fract_x
_atom_site_fract_y
_atom_site_fract_z
Hf1 0.250 0.250 0.250
In1 0.000 0.000 0.000
Zn1 0.750 0.750 0.750
```